[1]
{"formula": "Er2NpCdO8", "functional": "PBE", "state": "relaxed", "lattice_angstrom": [[-1.1557, 1.3916, -4.6916], [4.4212, -1.9504, -1.4179], [-3.4243, -6.0207, -1.2746]], "species": ["Er", "O", "O", "O", "O", "O", "O", "Np", "O", "Cd", "Er", "O"], "fractional_positions": [[0.5162, 0.4840, 0.7423], [0.2928, 0.2913, 0.9998], [0.1992, 0.7992, 0.8062], [0.6923, 0.6926, 0.5001], [0.7072, 0.7087, 0.0002], [0.1784, 0.8213, 0.2275], [0.8216, 0.1787, 0.7725], [0.0000, 0.0000, 0.0000], [0.3077, 0.3074, 0.4999], [0.0000, 0.0000, 0.5000], [0.4838, 0.5160, 0.2577], [0.8008, 0.2008, 0.1938]], "e_form_raw_ev_per_atom": -2.540}

[2]
{"formula": "Cs3U3NiTe8", "functional": "PBE", "state": "relaxed", "lattice_angstrom": [[-6.7980, -5.5633, 0.0355], [7.8598, -2.6508, 2.8451], [-5.1301, 6.3107, 6.5961]], "species": ["Te", "Cs", "U", "Te", "U", "Te", "U", "Ni", "Cs", "Te", "Te", "Te", "Te", "Cs", "Te"], "fractional_positions": [[0.7876, 0.5751, 0.3260], [0.5000, 0.5000, 0.0000], [0.5000, 0.5000, 0.5000], [0.7458, 0.9609, 0.6758], [0.5000, 0.0000, 0.5000], [0.2150, 0.9609, 0.6758], [0.0000, 0.5000, 0.5000], [0.0000, 0.0000, 0.5000], [0.0000, 0.0000, 0.0000], [0.7316, 0.4632, 0.6949], [0.2542, 0.0391, 0.3242], [0.7850, 0.0391, 0.3242], [0.2124, 0.4249, 0.6740], [0.0000, 0.5000, 0.0000], [0.2684, 0.5368, 0.3051]], "e_form_raw_ev_per_atom": -0.667}

[3]
{"formula": "SrYCoSi2", "functional": "PBE", "state": "relaxed", "lattice_angstrom": [[-0.4946, 3.2760, 3.2972], [3.1431, -2.4290, 2.8848], [3.5564, 2.4016, -1.8527]], "species": ["Si", "Si", "Y", "Sr", "Co"], "fractional_positions": [[0.0000, 0.0000, 0.5000], [0.5000, 0.0000, 0.0000], [0.0000, 0.5000, 0.0000], [0.5000, 0.5000, 0.5000], [0.0000, 0.0000, 0.0000]], "e_form_raw_ev_per_atom": -0.055}

[4]
{"formula": "Ta2CdCl", "functional": "PBE", "state": "relaxed", "lattice_angstrom": [[2.9762, 0.0000, 0.0000], [0.0000, 5.1483, 0.0000], [0.0000, 0.0000, 5.0911]], "species": ["Ta", "Ta", "Cd", "Cl"], "fractional_positions": [[0.5000, 0.5000, 0.0000], [0.0000, 0.0000, 0.0000], [0.5000, 0.0000, 0.5000], [0.0000, 0.5000, 0.5000]], "relative_energy_mev_per_atom": 593, "e_form_raw_ev_per_atom": 0.527}

[5]
{"formula": "RbAgO2F", "functional": "PBE", "state": "relaxed", "lattice_angstrom": [[4.4373, 0.0000, 0.0000], [0.0000, 4.4373, 0.0000], [0.0000, 0.0000, 5.0637]], "species": ["F", "O", "Rb", "Ag", "O"], "fractional_positions": [[0.0000, 0.0000, 0.5000], [0.5000, 0.0000, 0.0000], [0.0000, 0.0000, 0.0000], [0.5000, 0.5000, 0.5000], [0.0000, 0.5000, 0.0000]], "e_form_raw_ev_per_atom": 0.428}

[6]
{"formula": "HfHgRh3", "functional": "PBE", "state": "relaxed", "lattice_angstrom": [[4.8197, 0.0000, 0.0000], [0.0000, 4.8197, 0.0000], [0.0000, 0.0000, 4.8197]], "species": ["Hf", "Hg", "Rh", "Rh", "Rh"], "fractional_positions": [[0.5000, 0.5000, 0.5000], [0.0000, 0.0000, 0.0000], [0.0000, 0.0000, 0.5000], [0.0000, 0.5000, 0.0000], [0.5000, 0.0000, 0.0000]], "relative_energy_mev_per_atom": 588, "formation_enthalpy_0k_kcal_per_mol_atoms": 29.49}

[7]
{"formula": "CaPrHo2Cd4", "functional": "PBE", "state": "relaxed", "lattice_angstrom": [[5.3598, 0.0000, 0.0000], [2.6799, 4.6417, 0.0000], [2.6799, 1.5472, 8.7618]], "species": ["Pr", "Cd", "Ca", "Ho", "Ho", "Cd", "Cd", "Cd"], "fractional_positions": [[0.0000, 0.0000, 0.0000], [0.8748, 0.8748, 0.3757], [0.5000, 0.5000, 0.5000], [0.7515, 0.7515, 0.7456], [0.2485, 0.2485, 0.2544], [0.1252, 0.1252, 0.6243], [0.3758, 0.3758, 0.8725], [0.6242, 0.6242, 0.1275]], "formation_enthalpy_0k_kcal_per_mol_atoms": -7.39}

[8]
{"formula": "NaHfV2Rh", "functional": "PBE", "state": "relaxed", "lattice_angstrom": [[-1.8202, 1.4684, -3.8875], [0.3770, -4.2291, -1.7739], [-4.1389, -1.0202, 1.5526]], "species": ["V", "Hf", "Na", "Rh", "V"], "fractional_positions": [[0.0000, 0.0000, 0.5000], [0.5000, 0.5000, 0.5000], [0.0000, 0.0000, 0.0000], [0.0000, 0.5000, 0.0000], [0.5000, 0.0000, 0.0000]], "formation_enthalpy_0k_kcal_per_mol_atoms": 34.41}

| no. | Fermi-level density of states (states/eV/f.u.) |
| --- | --- |
| 1 | 7.3 |
| 2 | 19.2 |
| 3 | 3.9 |
| 4 | 3.5 |
| 5 | 6.1 |
| 6 | 3.5 |
| 7 | 7.3 |
| 8 | 4.8 |